# 1
This record from the Alexandria database describes a relaxed ThGa6Co2 crystal. The functional is PBE.

Computed properties:
SG: No. 227
Electronic total energy, eV per cell: -76.94
Theoretical density, Mg/m³: 6.9
Energy of formation, eV per atom: 0.147
Density of states at the Fermi level, states/eV/f.u.: 7.71

a b c (Å): 8.0753 8.0753 8.0753
angles (deg): 60.00 60.00 60.00
Element x y z (fractional)
Co: 0.1250 0.6250 0.1250
Co: 0.1250 0.1250 0.6250
Co: 0.6250 0.1250 0.1250
Co: 0.1250 0.1250 0.1250
Ga: 0.4764 0.0236 0.4764
Ga: 0.2264 0.7736 0.7736
Ga: 0.4764 0.4764 0.0236
Ga: 0.7736 0.2264 0.2264
Ga: 0.0236 0.0236 0.4764
Ga: 0.0236 0.4764 0.0236
Ga: 0.0236 0.4764 0.4764
Ga: 0.7736 0.2264 0.7736
Ga: 0.2264 0.2264 0.7736
Ga: 0.7736 0.7736 0.2264
Ga: 0.4764 0.0236 0.0236
Ga: 0.2264 0.7736 0.2264
Th: 0.7500 0.7500 0.7500
Th: 0.5000 0.5000 0.5000

# 2
This record from the Alexandria database describes a relaxed ThGaCo crystal. The functional is PBE.

Computed properties:
SG: No. 216
Electronic total energy, eV per cell: -18.61
Theoretical density, Mg/m³: 9.5
Energy of formation, eV per atom: -0.354
Density of states at the Fermi level, states/eV/f.u.: 4.53

a b c (Å): 4.4737 4.4737 4.4737
angles (deg): 60.00 60.00 60.00
Element x y z (fractional)
Ga: 0.0000 0.0000 0.0000
Th: 0.5000 0.5000 0.5000
Co: 0.2500 0.2500 0.2500

# 3
This record from the Alexandria database describes a relaxed ThGaCo crystal. The functional is PBE.

Computed properties:
SG: No. 51
Electronic total energy, eV per cell: -37.74
Theoretical density, Mg/m³: 10.0
Energy of formation, eV per atom: -0.439
Density of states at the Fermi level, states/eV/f.u.: 2.13

a b c (Å): 3.5809 4.2162 7.9361
angles (deg): 90.00 90.00 90.00
Element x y z (fractional)
Th: 0.3117 0.7162 0.0930
Th: 0.3117 0.2162 0.6999
Co: 0.8117 0.2162 0.0059
Co: 0.8117 0.7162 0.7869
Ga: 0.8115 0.2162 0.3117
Ga: 0.8114 0.7162 0.4812

# 4
This record from the Alexandria database describes a relaxed Th3Ga2Co crystal. The functional is PBE.

Computed properties:
SG: No. 15
Electronic total energy, eV per cell: -74.82
Theoretical density, Mg/m³: 10.3
ΔE to the lowest computed polymorph, meV per atom: 89.6
Energy of formation, eV per atom: -0.332
Density of states at the Fermi level, states/eV/f.u.: 7.18

a b c (Å): 7.6908 6.3120 6.3120
angles (deg): 85.44 76.03 76.03
Element x y z (fractional)
Th: 0.4606 0.7649 0.9335
Th: 0.7500 0.5505 0.4495
Th: 0.0394 0.0665 0.2351
Th: 0.2500 0.4495 0.5505
Th: 0.9606 0.9335 0.7649
Th: 0.5394 0.2351 0.0665
Ga: 0.3716 0.9135 0.4629
Ga: 0.1284 0.5371 0.0865
Ga: 0.6284 0.0865 0.5371
Ga: 0.8716 0.4629 0.9135
Co: 0.7500 0.8552 0.1448
Co: 0.2500 0.1448 0.8552

# 5
This record from the Alexandria database describes a relaxed Th2Ga6Co3 crystal. The functional is PBE.

Computed properties:
SG: No. 189
Electronic total energy, eV per cell: -58.54
Theoretical density, Mg/m³: 9.0
Energy of formation, eV per atom: -0.384
Density of states at the Fermi level, states/eV/f.u.: 10.75

a b c (Å): 4.0059 7.5185 7.5185
angles (deg): 120.00 90.00 90.00
Element x y z (fractional)
Th: 0.0000 0.6667 0.3333
Th: 0.0000 0.3333 0.6667
Co: 0.5000 0.3775 0.3775
Co: 0.5000 0.0000 0.6225
Co: 0.5000 0.6225 0.0000
Ga: 0.0000 0.1990 0.1990
Ga: 0.5000 0.0000 0.3011
Ga: 0.0000 0.8010 0.0000
Ga: 0.0000 0.0000 0.8010
Ga: 0.5000 0.3011 0.0000
Ga: 0.5000 0.6989 0.6989

# 6
This record from the Alexandria database describes a relaxed Th3GaCo8 crystal. The functional is PBE.

Computed properties:
SG: No. 160
Electronic total energy, eV per cell: -84.39
Theoretical density, Mg/m³: 11.3
Energy of formation, eV per atom: -0.188
Density of states at the Fermi level, states/eV/f.u.: 15.08

a b c (Å): 5.0077 5.0077 8.8866
angles (deg): 73.63 73.63 60.00
Each line ends with the local moment (μB).
Element x y z (fractional)
Th: 0.3774 0.3774 0.8677  -0.08
Th: 0.9905 0.9905 0.0286  0.03
Th: 0.5060 0.5060 0.4820  -0.05
Co: 0.9387 0.9387 0.6788  0.80
Co: 0.4439 0.9387 0.6788  0.80
Co: 0.6872 0.6872 0.9383  -0.01
Co: 0.9387 0.4439 0.6788  0.80
Co: 0.4349 0.9380 0.1921  -0.43
Co: 0.9380 0.4349 0.1921  -0.43
Co: 0.1898 0.1898 0.4305  0.07
Co: 0.4349 0.4349 0.1921  -0.43
Ga: 0.8700 0.8700 0.3900  -0.01

# 7
This record from the Alexandria database describes a relaxed ThGa2Co crystal. The functional is PBE.

Computed properties:
SG: No. 65
Electronic total energy, eV per cell: -45.54
Theoretical density, Mg/m³: 9.4
Energy of formation, eV per atom: -0.548
Density of states at the Fermi level, states/eV/f.u.: 3.12

a b c (Å): 4.1351 4.1677 9.0661
angles (deg): 103.29 90.00 90.00
Element x y z (fractional)
Th: 0.0000 0.8598 0.7195
Th: 0.0000 0.1402 0.2805
Ga: 0.0000 0.5000 0.0000
Ga: 0.5000 0.0000 0.0000
Ga: 0.5000 0.7093 0.4185
Ga: 0.5000 0.2907 0.5815
Co: 0.5000 0.5738 0.1476
Co: 0.5000 0.4262 0.8524

# 8
This record from the Alexandria database describes a relaxed ThGa9Co2 crystal. The functional is PBE.

Computed properties:
SG: No. 141
Electronic total energy, eV per cell: -102.76
Theoretical density, Mg/m³: 8.2
Energy of formation, eV per atom: -0.209
Density of states at the Fermi level, states/eV/f.u.: 5.77

a b c (Å): 7.4215 8.1845 8.1845
angles (deg): 78.14 63.04 63.04
Element x y z (fractional)
Th: 0.5000 0.0000 0.0000
Th: 0.2500 0.5000 0.5000
Co: 0.8750 0.2500 0.7500
Co: 0.8750 0.2500 0.2500
Co: 0.3750 0.7500 0.7500
Co: 0.8750 0.7500 0.2500
Ga: 0.6140 0.3218 0.0788
Ga: 0.7500 0.5000 0.5000
Ga: 0.3071 0.6782 0.0788
Ga: 0.6858 0.5788 0.1782
Ga: 0.6858 0.1782 0.5788
Ga: 0.0642 0.9212 0.3218
Ga: 0.0642 0.3218 0.9212
Ga: 0.4429 0.4212 0.8218
Ga: 0.3071 0.0788 0.6782
Ga: 0.0147 0.9212 0.6782
Ga: 0.0147 0.6782 0.9212
Ga: 0.1360 0.1782 0.4212
Ga: 0.7353 0.5788 0.8218
Ga: 0.0000 0.0000 0.0000
Ga: 0.4429 0.8218 0.4212
Ga: 0.6140 0.0788 0.3218
Ga: 0.7353 0.8218 0.5788
Ga: 0.1360 0.4212 0.1782

# 9
This record from the Alexandria database describes a relaxed ThGaCo crystal. The functional is PBE.

Computed properties:
SG: No. 187
Electronic total energy, eV per cell: -18.79
Theoretical density, Mg/m³: 10.0
Energy of formation, eV per atom: -0.413
Density of states at the Fermi level, states/eV/f.u.: 3.40

a b c (Å): 3.7727 4.2829 4.2829
angles (deg): 120.00 90.00 90.00
Element x y z (fractional)
Co: 0.1667 0.0000 0.0000
Ga: 0.1666 0.3333 0.6667
Th: 0.6666 0.6667 0.3333

# 10
This record from the Alexandria database describes a relaxed ThGa2Co2 crystal. The functional is PBE.

Computed properties:
SG: No. 12
Electronic total energy, eV per cell: -29.83
Theoretical density, Mg/m³: 9.5
Energy of formation, eV per atom: -0.428
Density of states at the Fermi level, states/eV/f.u.: 4.95

a b c (Å): 4.2523 4.4334 5.1967
angles (deg): 105.07 114.15 90.00
Each line ends with the local moment (μB).
Element x y z (fractional)
Th: 0.0000 0.0000 0.0000  -0.03
Co: 0.7591 0.1551 0.5183  0.31
Co: 0.2409 0.8449 0.4817  0.31
Ga: 0.6466 0.5865 0.2933  0.00
Ga: 0.3534 0.4135 0.7067  0.00

# 11
This record from the Alexandria database describes a relaxed Th4Ga2Co crystal. The functional is PBE.

Computed properties:
SG: No. 12
Electronic total energy, eV per cell: -88.00
Theoretical density, Mg/m³: 9.8
Energy of formation, eV per atom: -0.166
Density of states at the Fermi level, states/eV/f.u.: 7.57

a b c (Å): 8.1545 8.1517 8.1561
angles (deg): 128.60 100.60 101.11
Element x y z (fractional)
Th: 0.3264 0.0999 0.7731
Th: 0.3269 0.5536 0.2270
Th: 0.9234 0.1963 0.2733
Th: 0.4378 0.6742 0.7641
Th: 0.9100 0.6737 0.2360
Th: 0.8123 0.0763 0.7362
Th: 0.9232 0.6501 0.7265
Th: 0.3400 0.0760 0.2638
Co: 0.1505 0.6503 0.4998
Co: 0.0995 0.0996 0.0002
Ga: 0.6249 0.3751 0.7501
Ga: 0.6250 0.8749 0.2500
Ga: 0.6249 0.3744 0.2494
Ga: 0.1251 0.3756 0.7505

# 12
This record from the Alexandria database describes a relaxed ThGa3Co crystal. The functional is PBE.

Computed properties:
SG: No. 107
Electronic total energy, eV per cell: -26.17
Theoretical density, Mg/m³: 9.0
ΔE to the lowest computed polymorph, meV per atom: 0.0
Energy of formation, eV per atom: -0.512
Density of states at the Fermi level, states/eV/f.u.: 2.88

a b c (Å): 4.2559 4.2565 5.9065
angles (deg): 68.94 68.94 90.01
Element x y z (fractional)
Ga: 0.6395 0.9432 0.4264
Ga: 0.8054 0.6091 0.0933
Ga: 0.1396 0.4429 0.4264
Th: 0.3902 0.1937 0.9247
Co: 0.0331 0.8364 0.6403

# 13
This record from the Alexandria database describes a relaxed Th7Ga2Co2 crystal. The functional is PBE.

Computed properties:
SG: No. 65
Electronic total energy, eV per cell: -73.65
Theoretical density, Mg/m³: 10.5
Energy of formation, eV per atom: -0.131
Density of states at the Fermi level, states/eV/f.u.: 12.34

a b c (Å): 6.8316 6.8052 6.8316
angles (deg): 90.00 109.84 90.00
Element x y z (fractional)
Ga: 0.8373 0.5000 0.8373
Ga: 0.1627 0.5000 0.1627
Th: 0.4998 0.2445 0.5002
Th: 0.9998 0.2625 0.5003
Th: 0.4997 0.2625 0.0002
Th: 0.0000 0.0000 0.0000
Th: 0.0002 0.7375 0.4997
Th: 0.5003 0.7375 0.9998
Th: 0.5002 0.7555 0.4998
Co: 0.7312 0.0000 0.2688
Co: 0.2688 0.0000 0.7312

# 14
This record from the Alexandria database describes a relaxed Th2Ga2Co15 crystal. The functional is PBE.

Computed properties:
SG: No. 166
Electronic total energy, eV per cell: -130.20
Theoretical density, Mg/m³: 9.8
Energy of formation, eV per atom: -0.143
Density of states at the Fermi level, states/eV/f.u.: 24.12

a b c (Å): 6.3648 6.3648 6.3648
angles (deg): 82.70 82.70 82.70
Each line ends with the local moment (μB).
Element x y z (fractional)
Co: 0.8513 0.3493 0.3493  1.28
Co: 0.6507 0.1487 0.6507  1.28
Co: 0.3493 0.3493 0.8513  1.28
Co: 0.7131 0.0000 0.2869  1.47
Co: 0.0000 0.5000 0.0000  1.39
Co: 0.0000 0.7131 0.2869  1.47
Co: 0.6507 0.6507 0.1487  1.28
Co: 0.2869 0.0000 0.7131  1.47
Co: 0.2869 0.7131 0.0000  1.47
Co: 0.7131 0.2869 0.0000  1.47
Co: 0.1487 0.6507 0.6507  1.28
Co: 0.3493 0.8513 0.3493  1.28
Co: 0.0000 0.2869 0.7131  1.47
Co: 0.0000 0.0000 0.5000  1.39
Co: 0.5000 0.0000 0.0000  1.39
Ga: 0.1048 0.1048 0.1048  -0.05
Ga: 0.8952 0.8952 0.8952  -0.05
Th: 0.6485 0.6485 0.6485  -0.28
Th: 0.3515 0.3515 0.3515  -0.28

# 15
This record from the Alexandria database describes a relaxed ThGa3Co crystal. The functional is PBE.

Computed properties:
SG: No. 221
Electronic total energy, eV per cell: -25.05
Theoretical density, Mg/m³: 8.6
ΔE to the lowest computed polymorph, meV per atom: 222.2
Energy of formation, eV per atom: -0.290
Density of states at the Fermi level, states/eV/f.u.: 5.20

a b c (Å): 4.5852 4.5852 4.5852
angles (deg): 90.00 90.00 90.00
Each line ends with the local moment (μB).
Element x y z (fractional)
Ga: 0.0000 0.0000 0.5000  0.01
Ga: 0.5000 0.0000 0.0000  0.01
Ga: 0.0000 0.5000 0.0000  0.01
Co: 0.0000 0.0000 0.0000  0.32
Th: 0.5000 0.5000 0.5000  0.09

# 16
This record from the Alexandria database describes a relaxed ThGaCo crystal. The functional is PBE.

Computed properties:
SG: No. 8
Electronic total energy, eV per cell: -37.60
Theoretical density, Mg/m³: 9.7
Energy of formation, eV per atom: -0.416
Density of states at the Fermi level, states/eV/f.u.: 2.62

a b c (Å): 4.1547 4.1547 8.3131
angles (deg): 90.45 106.43 114.73
Element x y z (fractional)
Th: 0.8014 0.4263 0.2277
Th: 0.1351 0.5698 0.7049
Co: 0.5762 0.3227 0.8989
Co: 0.6784 0.7862 0.4646
Ga: 0.9706 0.9935 0.9641
Ga: 0.3182 0.1415 0.4597

# 17
This record from the Alexandria database describes a relaxed ThGa12Co4 crystal. The functional is PBE.

Computed properties:
SG: No. 204
Electronic total energy, eV per cell: -74.60
Theoretical density, Mg/m³: 5.9
Energy of formation, eV per atom: -0.143
Density of states at the Fermi level, states/eV/f.u.: 10.67

a b c (Å): 7.8288 7.8288 7.8288
angles (deg): 109.47 109.47 109.47
Element x y z (fractional)
Ga: 0.2577 0.2588 0.5165
Ga: 0.5165 0.2577 0.2588
Ga: 0.9989 0.2577 0.7412
Ga: 0.2577 0.7412 0.9989
Ga: 0.2588 0.0011 0.7423
Ga: 0.7412 0.4835 0.7423
Ga: 0.7412 0.9989 0.2577
Ga: 0.2588 0.5165 0.2577
Ga: 0.0011 0.7423 0.2588
Ga: 0.7423 0.7412 0.4835
Ga: 0.4835 0.7423 0.7412
Ga: 0.7423 0.2588 0.0011
Th: 0.0000 0.0000 0.0000
Co: 0.0000 0.5000 0.0000
Co: 0.5000 0.0000 0.0000
Co: 0.5000 0.5000 0.5000
Co: 0.0000 0.0000 0.5000

# 18
This record from the Alexandria database describes a relaxed ThGa2Co5 crystal. The functional is PBE.

Computed properties:
SG: No. 71
Electronic total energy, eV per cell: -50.06
Theoretical density, Mg/m³: 9.4
Energy of formation, eV per atom: -0.133
Density of states at the Fermi level, states/eV/f.u.: 9.72

a b c (Å): 3.7551 6.0975 6.0975
angles (deg): 64.45 72.07 72.07
Each line ends with the local moment (μB).
Element x y z (fractional)
Ga: 0.7573 0.7427 0.7427  -0.07
Ga: 0.2427 0.2573 0.2573  -0.07
Co: 0.3742 0.4415 0.8102  0.92
Co: 0.6258 0.1898 0.5585  0.92
Co: 0.0000 0.5000 0.5000  0.93
Co: 0.6258 0.5585 0.1898  0.92
Co: 0.3742 0.8102 0.4415  0.92
Th: 0.0000 0.0000 0.0000  -0.14

# 19
This record from the Alexandria database describes a relaxed Th3GaCo3 crystal. The functional is PBE.

Computed properties:
SG: No. 63
Electronic total energy, eV per cell: -98.49
Theoretical density, Mg/m³: 11.2
Energy of formation, eV per atom: -0.377
Density of states at the Fermi level, states/eV/f.u.: 7.29

a b c (Å): 3.9828 5.5500 13.5105
angles (deg): 90.00 90.00 111.03
Element x y z (fractional)
Co: 0.0731 0.1463 0.4058
Co: 0.9269 0.8537 0.5942
Co: 0.7582 0.5164 0.7500
Co: 0.2418 0.4836 0.2500
Co: 0.9269 0.8537 0.9058
Co: 0.0731 0.1463 0.0942
Th: 0.2087 0.4173 0.6052
Th: 0.7913 0.5827 0.1052
Th: 0.7913 0.5827 0.3948
Th: 0.2087 0.4173 0.8948
Th: 0.4849 0.9698 0.7500
Th: 0.5151 0.0302 0.2500
Ga: 0.5000 0.0000 0.0000
Ga: 0.5000 0.0000 0.5000

# 20
This record from the Alexandria database describes a relaxed Th2Ga3Co crystal. The functional is PBE.

Computed properties:
SG: No. 69
Electronic total energy, eV per cell: -68.22
Theoretical density, Mg/m³: 9.5
ΔE to the lowest computed polymorph, meV per atom: 14.5
Energy of formation, eV per atom: -0.514
Density of states at the Fermi level, states/eV/f.u.: 7.20

a b c (Å): 5.8952 5.8952 8.4190
angles (deg): 108.66 108.66 94.94
Element x y z (fractional)
Ga: 0.6638 0.1656 0.8294
Ga: 0.3362 0.8344 0.1706
Ga: 0.8344 0.3362 0.1706
Ga: 0.8287 0.8287 0.6573
Ga: 0.1713 0.1713 0.3427
Ga: 0.1656 0.6638 0.8294
Th: 0.7500 0.2500 0.5000
Th: 0.7350 0.7350 0.0000
Th: 0.2650 0.2650 0.0000
Th: 0.2500 0.7500 0.5000
Co: 0.6634 0.6634 0.3268
Co: 0.3366 0.3366 0.6732

# 21
This record from the Alexandria database describes a relaxed Th2Ga8Co crystal. The functional is PBE.

Computed properties:
SG: No. 123
Electronic total energy, eV per cell: -51.08
Theoretical density, Mg/m³: 8.3
Energy of formation, eV per atom: -0.447
Density of states at the Fermi level, states/eV/f.u.: 3.64

a b c (Å): 4.3621 4.3621 11.4210
angles (deg): 90.00 90.00 90.00
Element x y z (fractional)
Th: 0.0000 0.0000 0.3020
Th: 0.0000 0.0000 0.6980
Ga: 0.0000 0.5000 0.8877
Ga: 0.5000 0.0000 0.8877
Ga: 0.5000 0.5000 0.6985
Ga: 0.5000 0.0000 0.5000
Ga: 0.0000 0.5000 0.5000
Ga: 0.5000 0.5000 0.3015
Ga: 0.5000 0.0000 0.1123
Ga: 0.0000 0.5000 0.1123
Co: 0.0000 0.0000 0.0000